First-principles (PBE-GGA) data for a relaxed structure of KCu2Os, as listed in Alexandria.

a = 2.579 Å, b = 4.380 Å, c = 7.096 Å
α = 90.00°, β = 99.80°, γ = 90.00°
Element x y z (fractional)
K 0.000 0.000 0.000
Cu 0.229 0.000 0.447
Cu 0.338 0.500 0.683
Os 0.694 0.500 0.372

Output
Energy (eV/atom): -4.43
Calculated volume (Å³/atom): 19.7
Total moment (μB/f.u.): 0.0